# 1
Entry from Alexandria via LeMat-Bulk: crystalline Sr2Sc2Al at its relaxed geometry (PBE).

Values from the calculation:
- Electronic total energy: -3.747 eV per atom
- D(E_F): 1.557 states/eV per atom
- Formation energy from the elements: 0.21 eV per atom
- Excess energy over the best structure of this formula in the dataset: 0.0000 eV/atom

a = 7.614 Å, b = 7.614 Å, c = 5.668 Å
α = 90.00°, β = 90.00°, γ = 90.00°
Space group P4/mbm (No. 127)
Symmetry-distinct sites (fractional):
1 Sr 0.174 0.326 0.000 (multiplicity 4)
2 Sc 0.146 0.646 0.500 (multiplicity 4)
3 Al 0.000 0.000 0.500 (multiplicity 2)

=====

# 2
Entry from Alexandria via LeMat-Bulk: crystalline BaSm2C at its relaxed geometry (PBE).

Values from the calculation:
- Electronic total energy: -5.134 eV per atom
- D(E_F): 1.099 states/eV per atom
- Formation energy from the elements: 0.01 eV per atom

a = 3.7161 Å, b = 3.7161 Å, c = 31.2938 Å
α = 90.00°, β = 90.00°, γ = 120.00°
Space group R-3m (No. 166, hexagonal axes)
Symmetry-distinct sites (fractional):
1 Ba 0.0000 0.0000 0.0000 (multiplicity 3)
2 Sm 0.0000 0.0000 0.1225 (multiplicity 6)
3 C 0.0000 0.0000 0.5000 (multiplicity 3)

=====

# 3
Entry from Alexandria via LeMat-Bulk: crystalline LiBe3Au at its relaxed geometry (PBE).

Values from the calculation:
- Electronic total energy: -2.912 eV per atom
- D(E_F): 0.189 states/eV per atom
- Formation energy from the elements: 0.36 eV per atom
- Excess energy over the best structure of this formula in the dataset: 0.0000 eV/atom

a = 4.373 Å, b = 4.373 Å, c = 4.373 Å
α = 90.00°, β = 90.00°, γ = 90.00°
Space group Pm-3m (No. 221)
Symmetry-distinct sites (fractional):
1 Li 0.000 0.000 0.000 (multiplicity 1)
2 Be 0.000 0.500 0.500 (multiplicity 3)
3 Au 0.500 0.500 0.500 (multiplicity 1)

=====

# 4
Entry from Alexandria via LeMat-Bulk: crystalline NdEr2Si4 at its relaxed geometry (PBE).

Values from the calculation:
- Electronic total energy: -5.840 eV per atom
- D(E_F): 0.492 states/eV per atom
- Formation energy from raw total energies: -0.756 eV per atom

a = 3.884 Å, b = 4.269 Å, c = 17.488 Å
α = 90.00°, β = 90.00°, γ = 90.00°
Space group Immm (No. 71)
Symmetry-distinct sites (fractional):
1 Nd 0.000 0.000 0.000 (multiplicity 2)
2 Er 0.000 0.500 0.317 (multiplicity 4)
3 Si 0.000 0.000 0.432 (multiplicity 4)
4 Si 0.000 0.500 0.151 (multiplicity 4)

=====

# 5
Entry from Alexandria via LeMat-Bulk: crystalline Pd5RhAu at its relaxed geometry (PBE).

Values from the calculation:
- Electronic total energy: -5.044 eV per atom
- D(E_F): 1.250 states/eV per atom
- Formation energy from the elements: 0.18 eV per atom

a = 3.916 Å, b = 3.916 Å, c = 7.629 Å
α = 90.00°, β = 90.00°, γ = 90.00°
Space group P4/mmm (No. 123)
Symmetry-distinct sites (fractional):
1 Pd 0.000 0.000 0.000 (multiplicity 1)
2 Pd 0.000 0.500 0.275 (multiplicity 4)
3 Rh 0.500 0.500 0.500 (multiplicity 1)
4 Au 0.500 0.500 0.000 (multiplicity 1)

=====

# 6
Entry from Alexandria via LeMat-Bulk: crystalline NaCaHf2 at its relaxed geometry (PBE).

Values from the calculation:
- Electronic total energy: -4.855 eV per atom
- D(E_F): 1.982 states/eV per atom
- Formation energy from the elements: 0.95 eV per atom
- Excess energy over the best structure of this formula in the dataset: 0.0000 eV/atom

a = 7.458 Å, b = 7.458 Å, c = 7.458 Å
α = 90.00°, β = 90.00°, γ = 90.00°
Space group Fm-3m (No. 225)
Symmetry-distinct sites (fractional):
1 Na 0.000 0.000 0.000 (multiplicity 4)
2 Ca 0.000 0.000 0.500 (multiplicity 4)
3 Hf 0.250 0.250 0.250 (multiplicity 8)

=====

# 7
Entry from Alexandria via LeMat-Bulk: crystalline La3CoRe at its relaxed geometry (PBE).

Values from the calculation:
- Electronic total energy: -6.259 eV per atom
- D(E_F): 1.088 states/eV per atom
- Formation energy from the elements: 0.61 eV per atom
- Excess energy over the best structure of this formula in the dataset: 0.0000 eV/atom

a = 5.121 Å, b = 5.121 Å, c = 5.121 Å
α = 90.00°, β = 90.00°, γ = 90.00°
Space group Pm-3m (No. 221)
Symmetry-distinct sites (fractional):
1 La 0.000 0.000 0.500 (multiplicity 3)
2 Co 0.000 0.000 0.000 (multiplicity 1)
3 Re 0.500 0.500 0.500 (multiplicity 1)

=====

# 8
Entry from Alexandria via LeMat-Bulk: crystalline AlTe2W at its relaxed geometry (PBE).

Values from the calculation:
- Electronic total energy: -5.065 eV per atom
- D(E_F): 0.852 states/eV per atom
- Formation energy from raw total energies: 0.680 eV per atom

a = 3.363 Å, b = 5.323 Å, c = 10.219 Å
α = 90.00°, β = 90.00°, γ = 90.00°
Space group Cmmm (No. 65)
Symmetry-distinct sites (fractional):
1 Al 0.000 0.000 0.000 (multiplicity 2)
2 Te 0.000 0.500 0.283 (multiplicity 4)
3 W 0.000 0.000 0.500 (multiplicity 2)

=====

# 9
Entry from Alexandria via LeMat-Bulk: crystalline Na2TaInTe at its relaxed geometry (PBE).

Values from the calculation:
- Electronic total energy: -3.229 eV per atom
- D(E_F): 1.004 states/eV per atom
- Formation energy from raw total energies: 0.845 eV per atom

a = 5.404 Å, b = 5.404 Å, c = 5.368 Å
α = 90.00°, β = 90.00°, γ = 90.00°
Space group P4/mmm (No. 123)
Symmetry-distinct sites (fractional):
1 Na 0.000 0.500 0.000 (multiplicity 2)
2 Ta 0.000 0.000 0.500 (multiplicity 1)
3 In 0.000 0.000 0.000 (multiplicity 1)
4 Te 0.500 0.500 0.500 (multiplicity 1)

=====

# 10
Entry from Alexandria via LeMat-Bulk: crystalline Nd4OsPd at its relaxed geometry (PBE).

Values from the calculation:
- Electronic total energy: -6.228 eV per atom
- D(E_F): 1.022 states/eV per atom
- Formation energy from the elements: -0.31 eV per atom
- Excess energy over the best structure of this formula in the dataset: 0.0000 eV/atom

a = 8.524 Å, b = 12.837 Å, c = 6.397 Å
α = 90.00°, β = 104.64°, γ = 90.00°
Space group C2/c (No. 15)
Symmetry-distinct sites (fractional):
1 Nd 0.104 0.174 0.033 (multiplicity 8)
2 Nd 0.198 0.426 0.428 (multiplicity 8)
3 Os 0.000 0.001 0.250 (multiplicity 4)
4 Pd 0.000 0.375 0.750 (multiplicity 4)

=====

# 11
Entry from Alexandria via LeMat-Bulk: crystalline MgZnMo2 at its relaxed geometry (PBE).

Values from the calculation:
- Electronic total energy: -5.965 eV per atom
- D(E_F): 0.523 states/eV per atom
- Formation energy from the elements: 0.17 eV per atom
- Excess energy over the best structure of this formula in the dataset: 0.0404 eV/atom

a = 2.726 Å, b = 4.479 Å, c = 5.326 Å
α = 90.00°, β = 97.28°, γ = 90.00°
Space group Pm (No. 6)
Symmetry-distinct sites (fractional):
1 Mg 0.000 0.000 0.000 (multiplicity 1)
2 Zn 0.150 0.500 0.749 (multiplicity 1)
3 Mo 0.486 0.000 0.492 (multiplicity 1)
4 Mo 0.665 0.500 0.265 (multiplicity 1)

=====

# 12
Entry from Alexandria via LeMat-Bulk: crystalline LiNdY2Au4 at its relaxed geometry (PBE).

Values from the calculation:
- Electronic total energy: -4.836 eV per atom
- D(E_F): 0.488 states/eV per atom
- Formation energy from the elements: -0.75 eV per atom

a = 5.0171 Å, b = 5.0171 Å, c = 25.0825 Å
α = 90.00°, β = 90.00°, γ = 120.00°
Space group R-3m (No. 166, hexagonal axes)
Symmetry-distinct sites (fractional):
1 Li 0.0000 0.0000 0.0000 (multiplicity 3)
2 Nd 0.0000 0.0000 0.5000 (multiplicity 3)
3 Y 0.0000 0.0000 0.2599 (multiplicity 6)
4 Au 0.0000 0.0000 0.1136 (multiplicity 6)
5 Au 0.0000 0.0000 0.3785 (multiplicity 6)

=====

# 13
Entry from Alexandria via LeMat-Bulk: crystalline Sb3Te6As at its relaxed geometry (PBE).

Values from the calculation:
- Electronic total energy: -3.649 eV per atom
- D(E_F): 0.055 states/eV per atom
- Formation energy from raw total energies: -0.062 eV per atom

a = 12.826 Å, b = 4.240 Å, c = 13.696 Å
α = 90.00°, β = 108.93°, γ = 90.00°
Space group P2_1/m (No. 11)
Symmetry-distinct sites (fractional):
1 Sb 0.059 0.250 0.327 (multiplicity 2)
2 Sb 0.353 0.750 0.438 (multiplicity 2)
3 Sb 0.430 0.250 0.860 (multiplicity 2)
4 Te 0.037 0.250 0.882 (multiplicity 2)
5 Te 0.129 0.750 0.482 (multiplicity 2)
6 Te 0.251 0.750 0.775 (multiplicity 2)
7 Te 0.252 0.250 0.268 (multiplicity 2)
8 Te 0.381 0.250 0.052 (multiplicity 2)
9 Te 0.432 0.250 0.609 (multiplicity 2)
10 As 0.186 0.750 0.941 (multiplicity 2)